Entry 1:
Below is crystalline LaMn2Si at its relaxed geometry, with properties calculated at the PBE-GGA level.

Summary:
The formation energy from raw total energies is 178.5 meV per atom.

```
data_LaMn2Si
_cell_length_a 3.685
_cell_length_b 4.238
_cell_length_c 4.912
_cell_angle_alpha 90.00
_cell_angle_beta 94.25
_cell_angle_gamma 90.00
_space_group_name_H-M_alt 'P 1 2/m 1'
_space_group_IT_number 10
loop_
_space_group_symop_operation_xyz
'x,y,z'
'-x,-y,-z'
'-x,y,-z'
'x,-y,z'
loop_
_atom_site_label
_atom_site_type_symbol
_atom_site_fract_x
_atom_site_fract_y
_atom_site_fract_z
_atom_site_occupancy
La1 La 0.000 0.000 0.000 1
Mn1 Mn 0.268 0.500 0.614 1
Si1 Si 0.500 0.000 0.500 1
```

=====

Entry 2:
Below is crystalline LaMn2Si at its relaxed geometry, with properties calculated at the PBE-GGA level.

Summary:
The formation energy from raw total energies is 147.7 meV per atom.

```
data_LaMn2Si
_cell_length_a 3.663
_cell_length_b 3.683
_cell_length_c 11.829
_cell_angle_alpha 90.00
_cell_angle_beta 90.00
_cell_angle_gamma 90.00
_space_group_name_H-M_alt 'I m m 2'
_space_group_IT_number 44
loop_
_space_group_symop_operation_xyz
'x,y,z'
'-x,-y,z'
'-x,y,z'
'x,-y,z'
'x+1/2,y+1/2,z+1/2'
'-x+1/2,-y+1/2,z+1/2'
'-x+1/2,y+1/2,z+1/2'
'x+1/2,-y+1/2,z+1/2'
loop_
_atom_site_label
_atom_site_type_symbol
_atom_site_fract_x
_atom_site_fract_y
_atom_site_fract_z
_atom_site_occupancy
La1 La 0.000 0.000 0.000 1
Mn1 Mn 0.000 0.000 0.628 1
Mn2 Mn 0.000 0.500 0.757 1
Si1 Si 0.000 0.500 0.263 1
```

=====

Entry 3:
Below is crystalline La2MnSi at its relaxed geometry, with properties calculated at the PBE-GGA level.

Summary:
The formation energy from raw total energies is -306.6 meV per atom.

```
data_La2MnSi
_cell_length_a 4.291
_cell_length_b 4.300
_cell_length_c 11.285
_cell_angle_alpha 90.00
_cell_angle_beta 90.00
_cell_angle_gamma 90.00
_space_group_name_H-M_alt 'A m m 2'
_space_group_IT_number 38
loop_
_space_group_symop_operation_xyz
'x,y,z'
'-x,-y,z'
'-x,y,z'
'x,-y,z'
'x,y+1/2,z+1/2'
'-x,-y+1/2,z+1/2'
'-x,y+1/2,z+1/2'
'x,-y+1/2,z+1/2'
loop_
_atom_site_label
_atom_site_type_symbol
_atom_site_fract_x
_atom_site_fract_y
_atom_site_fract_z
_atom_site_occupancy
La1 La 0.000 0.000 0.000 1
La2 La 0.500 0.000 0.285 1
Mn1 Mn 0.000 0.000 0.701 1
Si1 Si 0.500 0.000 0.581 1
```

=====

What total moment values result from the calculations? In sequence: 0.0; 1.1; 5.2 μB/cell.
What raw total energy values result from the calculations? In sequence: -6.994; -7.025; -6.418 eV per atom.